# CsPt2W (PBEsol, relaxed)
# Total energy ... -5.742 eV per atom
# ΔH_f (0 K) ... 1.427 eV/atom
data_CsPt2W
_chemical_formula_sum 'Cs4 Pt8 W4'
_cell_length_a 6.8115
_cell_length_b 6.8115
_cell_length_c 6.8115
_cell_angle_alpha 90.00
_cell_angle_beta 90.00
_cell_angle_gamma 90.00
_space_group_name_H-M_alt 'F m -3 m'
_space_group_IT_number 225
_space_group_name_Hall '-F 4 2 3'
loop_
_atom_site_label
_atom_site_fract_x
_atom_site_fract_y
_atom_site_fract_z
Cs1 0.0000 0.0000 0.0000
Pt1 0.2500 0.2500 0.2500
W1 0.0000 0.0000 0.5000

# Y4MgAu (PBEsol, relaxed)
# Total energy ... -5.156 eV per atom
# ΔH_f (0 K) ... 0.333 eV/atom
data_Y4MgAu
_chemical_formula_sum 'Y16 Mg4 Au4'
_cell_length_a 8.6725
_cell_length_b 8.6725
_cell_length_c 8.6725
_cell_angle_alpha 90.00
_cell_angle_beta 90.00
_cell_angle_gamma 90.00
_space_group_name_H-M_alt 'F -4 3 m'
_space_group_IT_number 216
_space_group_name_Hall 'F -4 2 3'
loop_
_atom_site_label
_atom_site_fract_x
_atom_site_fract_y
_atom_site_fract_z
Y1 0.1247 0.1247 0.1247
Mg1 0.0000 0.0000 0.5000
Au1 0.2500 0.2500 0.7500

# ZrTlP2 (PBEsol, relaxed)
# Total energy ... -6.210 eV per atom
# ΔH_f (0 K) ... -0.384 eV/atom
data_ZrTlP2
_chemical_formula_sum 'Zr1 Tl1 P2'
_cell_length_a 3.7633
_cell_length_b 3.7633
_cell_length_c 5.7161
_cell_angle_alpha 90.00
_cell_angle_beta 90.00
_cell_angle_gamma 90.00
_space_group_name_H-M_alt 'P 4 m m'
_space_group_IT_number 99
_space_group_name_Hall 'P 4 -2'
loop_
_atom_site_label
_atom_site_fract_x
_atom_site_fract_y
_atom_site_fract_z
Zr1 0.0000 0.0000 0.0000
Tl1 0.5000 0.5000 0.4965
P1 0.0000 0.0000 0.5011
P2 0.5000 0.5000 0.9983

# Zr5Te4 (PBEsol, relaxed)
# E_form (uncorrected) ... -911.2 meV per atom
# Total energy ... -7.528 eV per atom
data_Zr5Te4
_chemical_formula_sum 'Zr10 Te8'
_cell_length_a 10.7207
_cell_length_b 10.7207
_cell_length_c 3.8038
_cell_angle_alpha 90.00
_cell_angle_beta 90.00
_cell_angle_gamma 90.00
_space_group_name_H-M_alt 'I 4/m'
_space_group_IT_number 87
_space_group_name_Hall '-I 4'
loop_
_atom_site_label
_atom_site_fract_x
_atom_site_fract_y
_atom_site_fract_z
Zr1 0.0000 0.0000 0.0000
Zr2 0.1322 0.8092 0.5000
Te1 0.0512 0.2830 0.0000

# NaBi2Ir2 (PBEsol, relaxed)
# Total energy ... -5.643 eV per atom
# ΔH_f (0 K) ... 0.281 eV/atom
data_NaBi2Ir2
_chemical_formula_sum 'Na2 Bi4 Ir4'
_cell_length_a 4.8745
_cell_length_b 4.8745
_cell_length_c 9.9908
_cell_angle_alpha 90.00
_cell_angle_beta 90.00
_cell_angle_gamma 90.00
_space_group_name_H-M_alt 'I 4/m m m'
_space_group_IT_number 139
_space_group_name_Hall '-I 4 2'
loop_
_atom_site_label
_atom_site_fract_x
_atom_site_fract_y
_atom_site_fract_z
Na1 0.0000 0.0000 0.0000
Bi1 0.0000 0.5000 0.2500
Ir1 0.0000 0.0000 0.3764

# ScSiTe2Au (PBEsol, relaxed)
# E_form (uncorrected) ... 377.0 meV per atom
# Total energy ... -4.289 eV per atom
data_ScSiTe2Au
_chemical_formula_sum 'Sc1 Si1 Te2 Au1'
_cell_length_a 5.4009
_cell_length_b 5.4009
_cell_length_c 5.0044
_cell_angle_alpha 90.00
_cell_angle_beta 90.00
_cell_angle_gamma 90.00
_space_group_name_H-M_alt 'P 4/m m m'
_space_group_IT_number 123
_space_group_name_Hall '-P 4 2'
loop_
_atom_site_label
_atom_site_fract_x
_atom_site_fract_y
_atom_site_fract_z
Sc1 0.0000 0.0000 0.0000
Si1 0.5000 0.5000 0.5000
Te1 0.0000 0.5000 0.0000
Au1 0.0000 0.0000 0.5000

# Na4Ga4Si19 (PBEsol, relaxed)
# E_form (uncorrected) ... -40.9 meV per atom
# Total energy ... -4.787 eV per atom
data_Na4Ga4Si19
_chemical_formula_sum 'Na8 Ga8 Si38'
_cell_length_a 10.3020
_cell_length_b 10.3262
_cell_length_c 10.3335
_cell_angle_alpha 89.96
_cell_angle_beta 89.87
_cell_angle_gamma 89.81
_space_group_name_H-M_alt 'P 1'
_space_group_IT_number 1
_space_group_name_Hall 'P 1'
loop_
_atom_site_label
_atom_site_fract_x
_atom_site_fract_y
_atom_site_fract_z
Na1 0.0000 0.0000 0.0000
Na2 0.0022 0.0183 0.5196
Na3 0.0237 0.4986 0.2534
Na4 0.2691 0.4756 0.7658
Na5 0.5094 0.7448 0.2786
Na6 0.5215 0.2518 0.2630
Na7 0.5240 0.0062 0.7512
Na8 0.7647 0.4781 0.7709
Ga1 0.0179 0.3837 0.9492
Ga2 0.0193 0.7487 0.7581
Ga3 0.3302 0.4993 0.3749
Ga4 0.4023 0.9996 0.4455
Ga5 0.5197 0.5001 0.0072
Ga6 0.5208 0.3092 0.6408
Ga7 0.7737 0.9985 0.2563
Ga8 0.8284 0.1174 0.7604
Si1 0.0197 0.3792 0.5611
Si2 0.0205 0.6131 0.5640
Si3 0.0200 0.6196 0.9531
Si4 0.0230 0.2515 0.7550
Si5 0.1380 0.1929 0.2551
Si6 0.1390 0.8052 0.2585
Si7 0.2035 0.3115 0.4405
Si8 0.2027 0.6847 0.4446
Si9 0.2040 0.6829 0.0733
Si10 0.2064 0.3167 0.0738
Si11 0.2131 0.8858 0.7580
Si12 0.2147 0.1194 0.7584
Si13 0.2659 0.9987 0.2525
Si14 0.3260 0.4999 0.1397
Si15 0.3333 0.1842 0.5737
Si16 0.3330 0.8161 0.5751
Si17 0.3355 0.8144 0.9385
Si18 0.3375 0.1831 0.9435
Si19 0.3991 0.9963 0.0625
Si20 0.5204 0.3043 0.8775
Si21 0.5197 0.6934 0.8701
Si22 0.5199 0.6959 0.6374
Si23 0.5250 0.5043 0.5082
Si24 0.6330 0.9957 0.0656
Si25 0.6396 0.9996 0.4487
Si26 0.6997 0.1813 0.9493
Si27 0.7013 0.8146 0.9402
Si28 0.7050 0.8180 0.5737
Si29 0.7066 0.1815 0.5693
Si30 0.7130 0.5034 0.1450
Si31 0.7162 0.5026 0.3776
Si32 0.8244 0.8807 0.7583
Si33 0.8300 0.3181 0.0763
Si34 0.8360 0.3141 0.4385
Si35 0.8369 0.6845 0.0754
Si36 0.8394 0.6845 0.4427
Si37 0.9049 0.1950 0.2542
Si38 0.9069 0.8039 0.2580

# Ag2BrCl (PBEsol, relaxed)
# E_form (uncorrected) ... -309.9 meV per atom
# Total energy ... -2.935 eV per atom
data_Ag2BrCl
_chemical_formula_sum 'Ag2 Br1 Cl1'
_cell_length_a 4.2257
_cell_length_b 4.9779
_cell_length_c 4.2320
_cell_angle_alpha 90.00
_cell_angle_beta 101.50
_cell_angle_gamma 90.00
_space_group_name_H-M_alt 'P 1 m 1'
_space_group_IT_number 6
_space_group_name_Hall 'P -2y'
loop_
_atom_site_label
_atom_site_fract_x
_atom_site_fract_y
_atom_site_fract_z
Ag1 0.0000 0.0000 0.0000
Ag2 0.2231 0.5000 0.7724
Br1 0.8056 0.5000 0.1905
Cl1 0.3960 0.0000 0.6019